Record 1
# AlCoHgW, optimized geometry, DFT PBE-GGA
data_AlCoHgW
_chemical_formula_sum 'Al4 Co4 Hg4 W4'
_cell_length_a 6.3094
_cell_length_b 6.3094
_cell_length_c 6.3094
_cell_angle_alpha 90.00
_cell_angle_beta 90.00
_cell_angle_gamma 90.00
_space_group_name_H-M_alt 'P 1'
_space_group_IT_number 1
_space_group_name_Hall 'P 1'
loop_
_atom_site_label
_atom_site_fract_x
_atom_site_fract_y
_atom_site_fract_z
Al1 0.0000 0.0000 0.0000
Al2 0.0000 0.5000 0.5000
Al3 0.5000 0.0000 0.5000
Al4 0.5000 0.5000 0.0000
Co1 0.2500 0.2500 0.2500
Co2 0.2500 0.7500 0.7500
Co3 0.7500 0.2500 0.7500
Co4 0.7500 0.7500 0.2500
Hg1 0.0000 0.0000 0.5000
Hg2 0.0000 0.5000 0.0000
Hg3 0.5000 0.0000 0.0000
Hg4 0.5000 0.5000 0.5000
W1 0.2500 0.2500 0.7500
W2 0.2500 0.7500 0.2500
W3 0.7500 0.2500 0.2500
W4 0.7500 0.7500 0.7500
# E_tot: -5.414 eV/atom
# Calculated density: 12.4 g cm⁻³
# Symmetry: F-43m, No. 216
# Total moment: 0.560 μB per atom

Record 2
# AlZnCoHg, optimized geometry, DFT PBE-GGA
data_AlZnCoHg
_chemical_formula_sum 'Al4 Zn4 Co4 Hg4'
_cell_length_a 6.2178
_cell_length_b 6.2178
_cell_length_c 6.2178
_cell_angle_alpha 90.00
_cell_angle_beta 90.00
_cell_angle_gamma 90.00
_space_group_name_H-M_alt 'P 1'
_space_group_IT_number 1
_space_group_name_Hall 'P 1'
loop_
_atom_site_label
_atom_site_fract_x
_atom_site_fract_y
_atom_site_fract_z
Al1 0.0000 0.0000 0.0000
Al2 0.0000 0.5000 0.5000
Al3 0.5000 0.0000 0.5000
Al4 0.5000 0.5000 0.0000
Zn1 0.0000 0.0000 0.5000
Zn2 0.0000 0.5000 0.0000
Zn3 0.5000 0.0000 0.0000
Zn4 0.5000 0.5000 0.5000
Co1 0.2500 0.2500 0.2500
Co2 0.2500 0.7500 0.7500
Co3 0.7500 0.2500 0.7500
Co4 0.7500 0.7500 0.2500
Hg1 0.2500 0.2500 0.7500
Hg2 0.2500 0.7500 0.2500
Hg3 0.7500 0.2500 0.2500
Hg4 0.7500 0.7500 0.7500
# Calculated density: 9.7 g cm⁻³
# Symmetry: F-43m, No. 216
# Total moment: 0.111 μB per atom
# Energy relative to the lowest polymorph listed for this composition: 0.0 meV per atom

What did the first record say?
# AlCoHgW, optimized geometry, DFT PBE-GGA
data_AlCoHgW
_chemical_formula_sum 'Al4 Co4 Hg4 W4'
_cell_length_a 6.3094
_cell_length_b 6.3094
_cell_length_c 6.3094
_cell_angle_alpha 90.00
_cell_angle_beta 90.00
_cell_angle_gamma 90.00
_space_group_name_H-M_alt 'P 1'
_space_group_IT_number 1
_space_group_name_Hall 'P 1'
loop_
_atom_site_label
_atom_site_fract_x
_atom_site_fract_y
_atom_site_fract_z
Al1 0.0000 0.0000 0.0000
Al2 0.0000 0.5000 0.5000
Al3 0.5000 0.0000 0.5000
Al4 0.5000 0.5000 0.0000
Co1 0.2500 0.2500 0.2500
Co2 0.2500 0.7500 0.7500
Co3 0.7500 0.2500 0.7500
Co4 0.7500 0.7500 0.2500
Hg1 0.0000 0.0000 0.5000
Hg2 0.0000 0.5000 0.0000
Hg3 0.5000 0.0000 0.0000
Hg4 0.5000 0.5000 0.5000
W1 0.2500 0.2500 0.7500
W2 0.2500 0.7500 0.2500
W3 0.7500 0.2500 0.2500
W4 0.7500 0.7500 0.7500
# E_tot: -5.414 eV/atom
# Calculated density: 12.4 g cm⁻³
# Symmetry: F-43m, No. 216
# Total moment: 0.560 μB per atom